No. 1
# Nd3Ho2Pb4 | the Alexandria database | PBE | relaxed
data_Nd3Ho2Pb4
_chemical_formula_sum 'Nd3 Ho2 Pb4'
_cell_length_a 7.1706
_cell_length_b 7.1706
_cell_length_c 10.1772
_cell_angle_alpha 122.05
_cell_angle_beta 122.05
_cell_angle_gamma 41.14
_symmetry_space_group_name_H-M 'P 1'
_symmetry_Int_Tables_number 1
_symmetry_space_group_name_Hall 'P 1'
loop_
_atom_site_label
_atom_site_type_symbol
_atom_site_fract_x
_atom_site_fract_y
_atom_site_fract_z
Nd1 Nd 0.0000 0.0000 0.0000
Nd2 Nd 0.3510 0.3510 0.2989
Nd3 Nd 0.6490 0.6490 0.7011
Ho1 Ho 0.3530 0.3530 0.6757
Ho2 Ho 0.6470 0.6470 0.3243
Pb1 Pb 0.0653 0.0653 0.4072
Pb2 Pb 0.3306 0.3306 0.9660
Pb3 Pb 0.6694 0.6694 0.0340
Pb4 Pb 0.9347 0.9347 0.5928
# Calculated volume: 31.5 Å³ per atom
# Calculated formation energy: -0.44 eV/atom
# Total magnetization: 0.000 μB per atom

---

No. 2
# K2PtAu | the Alexandria database | PBE | relaxed
data_K2PtAu
_chemical_formula_sum 'K2 Pt1 Au1'
_cell_length_a 10.7534
_cell_length_b 10.7534
_cell_length_c 10.7534
_cell_angle_alpha 17.34
_cell_angle_beta 17.34
_cell_angle_gamma 17.34
_symmetry_space_group_name_H-M 'P 1'
_symmetry_Int_Tables_number 1
_symmetry_space_group_name_Hall 'P 1'
loop_
_atom_site_label
_atom_site_type_symbol
_atom_site_fract_x
_atom_site_fract_y
_atom_site_fract_z
K1 K 0.2470 0.2470 0.2470
K2 K 0.7530 0.7530 0.7530
Pt1 Pt 0.5000 0.5000 0.5000
Au1 Au 0.0000 0.0000 0.0000
# Calculated volume: 24.1 Å³ per atom
# Calculated formation energy: 0.22 eV/atom
# Total magnetization: 0.000 μB per atom

---

No. 3
# BaIn4W | the Alexandria database | PBE | relaxed
data_BaIn4W
_chemical_formula_sum 'Ba1 In4 W1'
_cell_length_a 5.9866
_cell_length_b 5.9866
_cell_length_c 5.9866
_cell_angle_alpha 60.00
_cell_angle_beta 60.00
_cell_angle_gamma 60.00
_symmetry_space_group_name_H-M 'P 1'
_symmetry_Int_Tables_number 1
_symmetry_space_group_name_Hall 'P 1'
loop_
_atom_site_label
_atom_site_type_symbol
_atom_site_fract_x
_atom_site_fract_y
_atom_site_fract_z
Ba1 Ba 0.0000 0.0000 0.0000
In1 In 0.1275 0.6242 0.6242
In2 In 0.6242 0.1275 0.6242
In3 In 0.6242 0.6242 0.1275
In4 In 0.6242 0.6242 0.6242
W1 W 0.2500 0.2500 0.2500
# Calculated volume: 25.3 Å³ per atom
# Calculated formation energy: 0.56 eV/atom
# Total magnetization: 0.000 μB per atom

---

No. 4
# HPbW3 | the Alexandria database | PBE | relaxed
data_HPbW3
_chemical_formula_sum 'H1 Pb1 W3'
_cell_length_a 5.0510
_cell_length_b 5.0510
_cell_length_c 5.0510
_cell_angle_alpha 90.00
_cell_angle_beta 90.00
_cell_angle_gamma 90.00
_symmetry_space_group_name_H-M 'P 1'
_symmetry_Int_Tables_number 1
_symmetry_space_group_name_Hall 'P 1'
loop_
_atom_site_label
_atom_site_type_symbol
_atom_site_fract_x
_atom_site_fract_y
_atom_site_fract_z
H1 H 0.0000 0.0000 0.0000
Pb1 Pb 0.5000 0.5000 0.5000
W1 W 0.0000 0.5000 0.5000
W2 W 0.5000 0.0000 0.5000
W3 W 0.5000 0.5000 0.0000
# Calculated volume: 25.8 Å³ per atom
# Total magnetization: 0.000 μB per atom

---

| no. | ρ (Mg/m³) | calculated total energy (eV per atom) |
| --- | --- | --- |
| 1 | 9.317 | -4.69 |
| 2 | 8.100 | -2.65 |
| 3 | 8.542 | -3.75 |
| 4 | 9.790 | -5.22 |